Record 1
# RbScCrSb2, relaxed, DFT PBE
# Final energy in eV per atom: -4.439
# V in A^3/atom: 37.296
data_RbScCrSb2
_cell_length_a 5.4808
_cell_length_b 5.4808
_cell_length_c 6.2080
_cell_angle_alpha 90.00
_cell_angle_beta 90.00
_cell_angle_gamma 90.00
_space_group_name_H-M_alt 'P 4/m m m'
_space_group_IT_number 123
_space_group_name_Hall '-P 4 2'
loop_
_atom_site_label
_atom_site_type_symbol
_atom_site_fract_x
_atom_site_fract_y
_atom_site_fract_z
Rb1 Rb 0.0000 0.0000 0.0000
Sc1 Sc 0.0000 0.0000 0.5000
Cr1 Cr 0.5000 0.5000 0.0000
Sb1 Sb 0.0000 0.5000 0.5000



Record 2
# RbCr2SiSb, relaxed, DFT PBE
# Final energy in eV per atom: -5.084
# V in A^3/atom: 28.158
data_RbCr2SiSb
_cell_length_a 4.8510
_cell_length_b 4.8510
_cell_length_c 5.9827
_cell_angle_alpha 90.00
_cell_angle_beta 90.00
_cell_angle_gamma 90.00
_space_group_name_H-M_alt 'P 4/m m m'
_space_group_IT_number 123
_space_group_name_Hall '-P 4 2'
loop_
_atom_site_label
_atom_site_type_symbol
_atom_site_fract_x
_atom_site_fract_y
_atom_site_fract_z
Rb1 Rb 0.0000 0.0000 0.0000
Cr1 Cr 0.0000 0.5000 0.5000
Si1 Si 0.0000 0.0000 0.5000
Sb1 Sb 0.5000 0.5000 0.0000



Record 3
# Rb2CrSbTe4, relaxed, DFT PBE
# Final energy in eV per atom: -3.972
# V in A^3/atom: 34.851
data_Rb2CrSbTe4
_cell_length_a 8.9799
_cell_length_b 9.4933
_cell_length_c 13.0820
_cell_angle_alpha 90.00
_cell_angle_beta 90.00
_cell_angle_gamma 90.00
_space_group_name_H-M_alt 'I m m a'
_space_group_IT_number 74
_space_group_name_Hall '-I 2b 2'
loop_
_atom_site_label
_atom_site_type_symbol
_atom_site_fract_x
_atom_site_fract_y
_atom_site_fract_z
Rb1 Rb 0.0000 0.0000 0.0000
Rb2 Rb 0.2500 0.2500 0.2500
Cr1 Cr 0.2500 0.2500 0.7500
Sb1 Sb 0.0000 0.0000 0.5000
Te1 Te 0.0000 0.0589 0.7383
Te2 Te 0.2252 0.2500 0.5332